# 1
BaMnHg4: relaxed, PBE.

Structure (POSCAR):
```
BaMnHg4
1.0
-5.918 -1.134 1.259
-4.355 1.484 -4.089
-3.000 -4.429 -3.045
Hg Mn Ba
4 1 1
Cartesian
-6.479 -3.732 -3.720
-4.989 -1.533 -2.208
-7.151 -0.797 -4.238
-7.927 -2.096 -1.584
-9.955 -3.059 -4.406
0.000 0.000 0.000
```

Calculated values
space group: F-43m, No. 216
VASP energy: -1.976 eV per atom
V: 164.9 Å³ per cell
Fermi-level density of states: 4.91 states/eV per cell

***

# 2
BaMn2Hg: relaxed, PBE.

Structure (POSCAR):
```
BaMn2Hg
1.0
-0.842 -0.354 -4.607
2.500 -2.990 -2.621
-3.445 -5.388 -1.356
Mn Ba Hg
2 1 1
Cartesian
1.602 -3.404 -7.213
-1.993 -7.247 -6.266
-0.869 -4.339 -4.297
0.238 -1.451 -2.326
```

Calculated values
space group: R3m, No. 160
VASP energy: -4.793 eV per atom
V: 113.6 Å³ per cell
Fermi-level density of states: 3.56 states/eV per cell

***

# 3
BaMn2Hg: relaxed, PBE.

Structure (POSCAR):
```
BaMn2Hg
1.0
-2.735 3.259 -3.759
0.288 -6.232 -1.395
-2.951 -1.200 0.968
Mn Ba Hg
2 1 1
Cartesian
-2.843 1.030 -1.396
0.000 0.000 0.000
-1.331 -3.716 -0.214
-1.224 -1.486 -2.577
```

Calculated values
space group: C2/m, No. 12
VASP energy: -4.411 eV per atom
V: 104.0 Å³ per cell
Fermi-level density of states: 3.96 states/eV per cell

***

# 4
BaMn2Hg: relaxed, PBE.

Structure (POSCAR):
```
BaMn2Hg
1.0
-5.431 -2.021 2.174
0.328 -5.259 3.247
1.772 5.918 -0.386
Ba Mn Hg
1 2 1
Cartesian
-3.106 0.128 2.250
-0.187 -0.266 0.198
-2.365 -3.374 2.513
-0.226 -1.491 2.786
```

Calculated values
space group: Immm, No. 71
VASP energy: -4.544 eV per atom
V: 105.9 Å³ per cell
Fermi-level density of states: 4.37 states/eV per cell

***

# 5
BaMn2Hg: relaxed, PBE.

Structure (POSCAR):
```
BaMn2Hg
1.0
5.262 -0.524 0.000
0.325 5.278 0.000
-2.794 -2.377 3.809
Hg Mn Ba
1 2 1
Cartesian
2.631 -0.262 1.905
0.163 2.639 1.905
0.000 0.000 0.000
2.794 2.377 0.000
```

Calculated values
space group: I-4m2, No. 119
VASP energy: -4.561 eV per atom
V: 106.4 Å³ per cell
Fermi-level density of states: 4.56 states/eV per cell

***

# 6
BaMn2Hg: relaxed, PBE.

Structure (POSCAR):
```
BaMn2Hg
1.0
-3.976 -2.082 -1.531
1.508 -0.524 -3.204
2.772 -5.876 0.794
Mn Hg Ba
2 1 1
Cartesian
2.463 -3.705 -1.356
3.957 -5.894 -2.259
1.222 -5.841 -2.573
-0.918 -2.641 -1.368
```

Calculated values
space group: P2/m, No. 10
VASP energy: -4.624 eV per atom
V: 108.8 Å³ per cell
Fermi-level density of states: 3.35 states/eV per cell

***

# 7
BaMn2Hg: relaxed, PBE.

Structure (POSCAR):
```
BaMn2Hg
1.0
4.712 -0.033 0.030
2.376 4.069 0.030
2.344 1.335 5.803
Hg Mn Ba
1 2 1
Cartesian
2.358 1.343 1.466
4.720 2.687 2.002
7.085 4.034 0.990
7.074 4.028 4.397
```

Calculated values
space group: C2/m, No. 12
VASP energy: -4.784 eV per atom
V: 111.3 Å³ per cell
Fermi-level density of states: 5.27 states/eV per cell

***

# 8
BaMn2Hg: relaxed, PBE.

Structure (POSCAR):
```
BaMn2Hg
1.0
-2.606 -2.449 -0.513
-0.470 -0.249 3.573
-5.207 5.601 -0.294
Mn Hg Ba
2 1 1
Cartesian
-0.079 0.084 -0.004
-2.459 -0.358 1.478
-5.778 3.213 1.291
-2.569 2.764 -0.145
```

Calculated values
space group: P4mm, No. 99
VASP energy: -4.734 eV per atom
V: 99.9 Å³ per cell
Fermi-level density of states: 4.28 states/eV per cell

***

# 9
BaMn2Hg: relaxed, PBE.

Structure (POSCAR):
```
BaMn2Hg
1.0
0.000 3.668 3.668
3.668 0.000 3.668
3.668 3.668 0.000
Mn Ba Hg
2 1 1
Cartesian
5.502 5.502 5.502
1.834 1.834 1.834
0.000 0.000 0.000
3.668 3.668 3.668
```

Calculated values
space group: Fm-3m, No. 225
VASP energy: -4.528 eV per atom
V: 98.7 Å³ per cell
Fermi-level density of states: 15.35 states/eV per cell

***

# 10
BaMn2Hg: relaxed, PBE.

Structure (POSCAR):
```
BaMn2Hg
1.0
4.733 0.000 0.000
0.000 4.733 0.000
0.000 0.000 4.804
Hg Mn Ba
1 2 1
Cartesian
0.000 2.366 2.402
0.000 0.000 0.000
2.366 2.366 0.000
2.366 0.000 2.402
```

Calculated values
space group: P4/mmm, No. 123
VASP energy: -4.496 eV per atom
V: 107.6 Å³ per cell
Fermi-level density of states: 3.11 states/eV per cell

***

# 11
BaMn2Hg: relaxed, PBE.

Structure (POSCAR):
```
BaMn2Hg
1.0
-1.028 8.718 4.457
-3.398 6.867 6.183
-0.072 6.762 7.156
Mn Ba Hg
2 1 1
Cartesian
-1.192 5.920 4.714
-4.488 22.294 17.754
-2.260 11.226 8.939
-3.307 16.428 13.082
```

Calculated values
space group: R3m, No. 160
VASP energy: -4.466 eV per atom
V: 100.4 Å³ per cell
Fermi-level density of states: 3.61 states/eV per cell

***

# 12
Ba3MnHg: relaxed, PBE.

Structure (POSCAR):
```
Ba3MnHg
1.0
-4.375 -4.656 -1.328
4.433 -4.572 1.426
-1.948 0.054 6.228
Mn Hg Ba
1 1 3
Cartesian
-0.945 -4.587 3.163
0.000 0.000 0.000
2.216 -2.286 0.713
-0.974 0.027 3.114
-2.187 -2.328 -0.664
```

Calculated values
space group: Pm-3m, No. 221
VASP energy: -2.643 eV per atom
V: 277.9 Å³ per cell
Fermi-level density of states: 10.77 states/eV per cell

***

# 13
BaMn2Hg: relaxed, PBE.

Structure (POSCAR):
```
BaMn2Hg
1.0
-1.817 -1.476 -9.255
-2.494 -4.824 -7.852
-5.109 -2.217 -7.754
Mn Hg Ba
2 1 1
Cartesian
-0.158 -0.143 -0.417
-4.552 -4.115 -12.013
-7.065 -6.388 -18.646
-2.355 -2.129 -6.215
```

Calculated values
space group: R-3m, No. 166
VASP energy: -4.398 eV per atom
V: 109.9 Å³ per cell
Fermi-level density of states: 3.16 states/eV per cell

***

# 14
BaMn2Hg: relaxed, PBE.

Structure (POSCAR):
```
BaMn2Hg
1.0
-0.644 -1.807 -3.093
-0.253 -3.108 1.869
-7.482 1.145 0.889
Mn Hg Ba
2 1 1
Cartesian
-6.928 1.060 0.824
-4.294 0.657 0.510
-6.060 -1.599 0.055
-2.319 -2.171 -0.390
```

Calculated values
space group: P4/mmm, No. 123
VASP energy: -4.618 eV per atom
V: 100.8 Å³ per cell
Fermi-level density of states: 5.13 states/eV per cell

***

# 15
BaMn2Hg: relaxed, PBE.

Structure (POSCAR):
```
BaMn2Hg
1.0
-4.461 -2.527 -3.506
-3.002 -4.905 2.348
1.443 6.012 0.597
Mn Hg Ba
2 1 1
Cartesian
-0.001 -0.001 0.000
-3.692 -0.431 -1.793
-2.365 -1.025 1.226
-3.694 -3.679 -0.573
```

Calculated values
space group: Imm2, No. 44
VASP energy: -4.569 eV per atom
V: 101.4 Å³ per cell
Fermi-level density of states: 3.77 states/eV per cell

***

# 16
BaMn2Hg2: relaxed, PBE.

Structure (POSCAR):
```
BaMn2Hg2
1.0
-3.397 -0.339 -3.777
1.208 -4.904 -0.647
-4.735 -3.966 1.183
Hg Mn Ba
2 2 1
Cartesian
-4.613 -3.463 -2.403
-2.311 -5.745 -0.838
-4.850 -6.225 -1.943
-2.074 -2.983 -1.298
0.000 0.000 0.000
```

Calculated values
space group: I4/mmm, No. 139
VASP energy: -3.955 eV per atom
V: 133.7 Å³ per cell
Fermi-level density of states: 4.61 states/eV per cell

***

# 17
Ba2MnHgN: relaxed, PBE.

Structure (POSCAR):
```
Ba2MnHgN
1.0
-0.294 -2.520 5.416
-3.504 -4.319 -2.200
3.062 -2.076 -0.800
Mn Ba N Hg
1 2 1 1
Cartesian
1.531 -1.038 -0.400
-0.147 -1.260 2.708
-1.752 -2.160 -1.100
0.000 0.000 0.000
-0.368 -4.458 1.208
```

Calculated values
space group: P4/mmm, No. 123
V: 135.4 Å³ per cell
uncorrected formation energy: -0.3696 eV per atom
Fermi-level density of states: 3.02 states/eV per cell

***

# 18
BaMn2HgP: relaxed, PBE.

Structure (POSCAR):
```
BaMn2HgP
1.0
4.685 0.000 0.000
0.000 5.601 0.000
0.000 0.000 4.685
Ba P Mn Hg
1 1 2 1
Cartesian
2.342 2.800 2.342
0.000 0.000 0.000
2.342 0.000 0.000
0.000 0.000 2.342
0.000 2.800 0.000
```

Calculated values
space group: P4/mmm, No. 123
VASP energy: -5.010 eV per atom
V: 122.9 Å³ per cell
Fermi-level density of states: 5.15 states/eV per cell

***

# 19
Ba2MnHgRu: relaxed, PBE.

Structure (POSCAR):
```
Ba2MnHgRu
1.0
-1.118 -5.090 -3.411
4.205 -0.143 -1.165
1.247 -3.584 4.939
Ba Ru Mn Hg
2 1 1 1
Cartesian
-0.559 -2.545 -1.706
0.623 -1.792 2.470
2.103 -0.071 -0.583
0.000 0.000 0.000
2.167 -4.408 0.181
```

Calculated values
space group: P4/mmm, No. 123
VASP energy: -4.116 eV per atom
V: 169.4 Å³ per cell
Fermi-level density of states: 4.23 states/eV per cell

***

# 20
BaMnSn2Hg: relaxed, PBE.

Structure (POSCAR):
```
BaMnSn2Hg
1.0
5.141 0.000 0.000
0.000 5.141 0.000
0.000 0.000 5.307
Sn Mn Ba Hg
2 1 1 1
Cartesian
2.571 0.000 0.000
0.000 2.571 0.000
0.000 0.000 0.000
2.571 2.571 2.653
0.000 0.000 2.653
```

Calculated values
space group: P4/mmm, No. 123
VASP energy: -4.084 eV per atom
V: 140.3 Å³ per cell
Fermi-level density of states: 2.84 states/eV per cell

***

| no. | magnetization (μB per cell) |
| --- | --- |
| 1 | 4.0 |
| 2 | 7.6 |
| 3 | 8.0 |
| 4 | 8.2 |
| 5 | 8.2 |
| 6 | 8.1 |
| 7 | 7.8 |
| 8 | 7.9 |
| 9 | 8.1 |
| 10 | 8.2 |
| 11 | 7.8 |
| 12 | 4.3 |
| 13 | 8.4 |
| 14 | 8.0 |
| 15 | 7.8 |
| 16 | 8.0 |
| 17 | 2.7 |
| 18 | 6.8 |
| 19 | 2.8 |
| 20 | 2.2 |